Material: YCoIr2
Method: DFT, PBE
State: optimized geometry

DOS at the Fermi energy, states/eV/f.u.: 4.34
E, hartree per atom: -0.2908
Relative energy among the computed polymorphs, eV/atom: 0.095
Magnetization, μB per cell: 1.68
V, Å³/cell: 65
Symmetry: C2/m (12)
E_form, eV/atom: -0.09

a b c (Å): 4.909 4.909 4.881
angles (deg): 76.84 76.84 34.90
Last column: magnetic moment on the atom in μB.
Fractional positions:
Ir: 0.986 0.986 0.036  0.18
Co: 0.250 0.250 0.250  1.48
Ir: 0.514 0.514 0.464  0.18
Y: 0.750 0.750 0.750  -0.10

---

Material: Pm2Pr7Nd
Method: DFT, PBE
State: optimized geometry

DOS at the Fermi energy, states/eV/f.u.: 15.39
E, hartree per atom: -0.1625
Relative energy among the computed polymorphs, eV/atom: 0.000
Magnetization, μB per cell: 0.00
V, Å³/cell: 376
Symmetry: Cmmm (65)
E_form, eV/atom: 0.35

a b c (Å): 3.565 10.568 10.568
angles (deg): 109.10 90.00 90.00
Fractional positions:
Pr: 0.000 0.677 0.323
Pr: 0.500 0.615 0.873
Pr: 0.500 0.873 0.615
Pm: 0.500 0.831 0.169
Pr: 0.000 0.323 0.677
Pr: 0.500 0.385 0.127
Pr: 0.500 0.500 0.500
Pr: 0.500 0.127 0.385
Nd: 0.000 0.000 0.000
Pm: 0.500 0.169 0.831

---

Material: LaLuPb2
Method: DFT, PBE
State: optimized geometry

DOS at the Fermi energy, states/eV/f.u.: 3.89
E, hartree per atom: -0.1710
Magnetization, μB per cell: 0.00
V, Å³/cell: 118
Symmetry: P4/mmm (123)
E_form, eV/atom: -0.44

a b c (Å): 4.081 4.081 7.109
angles (deg): 90.00 90.00 90.00
Fractional positions:
Pb: 0.000 0.000 0.274
Lu: 0.500 0.500 0.500
Pb: 0.000 0.000 0.726
La: 0.500 0.500 0.000

---

Material: Ca2AgAu3
Method: DFT, PBE
State: optimized geometry

DOS at the Fermi energy, states/eV/f.u.: 1.42
E, hartree per atom: -0.1246
Relative energy among the computed polymorphs, eV/atom: 0.017
Magnetization, μB per cell: 0.00
V, Å³/cell: 279
Symmetry: Fmmm (69)
E_form, eV/atom: -0.61

a b c (Å): 5.958 5.958 8.945
angles (deg): 103.87 103.87 106.27
Fractional positions:
Au: 0.832 0.336 0.168
Ag: 0.333 0.333 0.666
Ca: 0.249 0.249 0.000
Au: 0.168 0.664 0.832
Au: 0.664 0.168 0.832
Au: 0.833 0.833 0.666
Ca: 0.751 0.751 0.000
Ca: 0.750 0.250 0.500
Au: 0.336 0.832 0.168
Ca: 0.250 0.750 0.500
Ag: 0.667 0.667 0.334
Au: 0.167 0.167 0.334

---

Material: K2InGeS4
Method: DFT, PBE
State: optimized geometry

DOS at the Fermi energy, states/eV/f.u.: 5.70
E, hartree per atom: -0.1464
Magnetization, μB per cell: 0.23
V, Å³/cell: 239
Symmetry: I-4 (82)

a b c (Å): 6.798 6.798 6.798
angles (deg): 101.81 113.43 113.43
Last column: magnetic moment on the atom in μB.
Fractional positions:
S: 0.955 0.517 0.158  0.02
S: 0.359 0.842 0.798  0.02
K: 0.500 0.750 0.250  0.00
S: 0.045 0.202 0.561  0.02
Ge: 0.000 0.500 0.500  0.01
S: 0.641 0.439 0.483  0.02
In: 0.500 0.250 0.750  0.06
K: 0.000 0.000 0.000  0.00

---

Material: Ba2LaRe
Method: DFT, PBE
State: optimized geometry

DOS at the Fermi energy, states/eV/f.u.: 4.47
E, hartree per atom: -0.1737
Relative energy among the computed polymorphs, eV/atom: 0.077
Magnetization, μB per cell: 0.00
V, Å³/cell: 153
Symmetry: Imm2 (44)
E_form, eV/atom: 0.58

a b c (Å): 7.306 7.306 7.306
angles (deg): 148.83 130.34 59.80
Fractional positions:
La: 0.417 0.417 0.000
Ba: 0.060 0.060 0.000
Re: 0.279 0.779 0.500
Ba: 0.744 0.244 0.500

---

Please write out number 3 again, unchanged.
Material: LaLuPb2
Method: DFT, PBE
State: optimized geometry

DOS at the Fermi energy, states/eV/f.u.: 3.89
E, hartree per atom: -0.1710
Magnetization, μB per cell: 0.00
V, Å³/cell: 118
Symmetry: P4/mmm (123)
E_form, eV/atom: -0.44

a b c (Å): 4.081 4.081 7.109
angles (deg): 90.00 90.00 90.00
Fractional positions:
Pb: 0.000 0.000 0.274
Lu: 0.500 0.500 0.500
Pb: 0.000 0.000 0.726
La: 0.500 0.500 0.000

---

Which of these has the lowest V? YCoIr2